The following is a PBE calculation of CaEuNiPd after structural relaxation, from Alexandria via LeMat-Bulk.

Results
formation energy from the elements	-0.311	eV per atom
magnetic moment	1.6970	μB/atom

Lattice parameters (Å, degrees): 5.003 5.003 5.003 60.00 60.00 60.00
Fractional coordinates of all 4 atoms:
Eu: 0.000 0.000 0.000
Pd: 0.750 0.750 0.750
Ca: 0.500 0.500 0.500
Ni: 0.250 0.250 0.250

The following is a PBE calculation of CaEuNiPt after structural relaxation, from Alexandria via LeMat-Bulk.

Results
formation energy from the elements	-0.450	eV per atom
magnetic moment	1.6875	μB/atom

Lattice parameters (Å, degrees): 4.969 4.969 4.969 60.00 60.00 60.00
Fractional coordinates of all 4 atoms:
Ni: 0.250 0.250 0.250
Ca: 0.000 0.000 0.000
Pt: 0.750 0.750 0.750
Eu: 0.500 0.500 0.500

The following is a PBE calculation of CaEuNiRh after structural relaxation, from Alexandria via LeMat-Bulk.

Results
formation energy from the elements	-0.144	eV per atom
magnetic moment	1.6924	μB/atom

Lattice parameters (Å, degrees): 4.908 4.908 4.908 60.00 60.00 60.00
Fractional coordinates of all 4 atoms:
Eu: 0.500 0.500 0.500
Rh: 0.750 0.750 0.750
Ca: 0.000 0.000 0.000
Ni: 0.250 0.250 0.250

The following is a PBE calculation of CaEuTlNi after structural relaxation, from Alexandria via LeMat-Bulk.

Results
formation energy from the elements	-0.105	eV per atom
magnetic moment	1.7470	μB/atom

Lattice parameters (Å, degrees): 5.270 5.270 5.270 60.00 60.00 60.00
Fractional coordinates of all 4 atoms:
Ca: 0.500 0.500 0.500
Ni: 0.250 0.250 0.250
Tl: 0.750 0.750 0.750
Eu: 0.000 0.000 0.000